# 1
Material: SrAuSe2
Method: DFT, PBE-GGA
State: optimized geometry

```
SrAuSe2
1.0
2.378 0.000 8.590
-1.189 2.059 8.590
-1.189 -2.059 8.590
Sr Au Se
1 1 2
Direct
0.000 0.000 0.000
0.500 0.500 0.500
0.884 0.884 0.884
0.116 0.116 0.116
```

Calculated values
Energy above the lowest structure with this stoichiometry: 780.5 meV/atom
Energy relative to the elements, uncorrected: -0.18 eV per atom
D(E_F): 1.126 states/eV/atom
Crystal system: trigonal

# 2
Material: TbHo2Pd
Method: DFT, PBE-GGA
State: optimized geometry

```
TbHo2Pd
1.0
-0.023 5.963 2.481
-3.265 -2.396 5.729
8.542 -1.697 4.158
Tb Ho Pd
4 8 4
Direct
0.632 0.521 0.250
0.868 0.021 0.250
0.368 0.479 0.750
0.132 0.979 0.750
0.175 0.681 0.059
0.325 0.181 0.441
0.825 0.319 0.559
0.675 0.819 0.941
0.825 0.319 0.941
0.675 0.819 0.559
0.175 0.681 0.441
0.325 0.181 0.059
0.061 0.389 0.250
0.439 0.889 0.250
0.939 0.611 0.750
0.561 0.111 0.750
```

Calculated values
Energy above the lowest structure with this stoichiometry: 0.0 meV/atom
Formation energy: -0.477 eV per atom
D(E_F): 1.176 states/eV/atom
Crystal system: orthorhombic

# 3
Material: Pm14SmIn
Method: DFT, PBE-GGA
State: optimized geometry

```
Pm14SmIn
1.0
7.154 0.960 0.000
-0.960 7.154 0.000
0.000 0.000 10.234
Pm Sm In
14 1 1
Direct
0.375 0.625 0.500
0.875 0.125 0.500
0.874 0.625 0.000
0.875 0.625 0.500
0.375 0.126 0.000
0.375 0.125 0.500
0.623 0.873 0.754
0.623 0.873 0.246
0.127 0.377 0.754
0.127 0.377 0.246
0.127 0.873 0.754
0.127 0.873 0.246
0.623 0.377 0.754
0.623 0.377 0.246
0.875 0.125 0.000
0.375 0.625 0.000
```

Calculated values
Formation energy: -0.036 eV per atom
D(E_F): 1.311 states/eV/atom
Crystal system: orthorhombic

# 4
Material: Ca2Pr7Y2
Method: DFT, PBE-GGA
State: optimized geometry

```
Ca2Pr7Y2
1.0
3.611 0.983 -0.126
0.836 11.401 1.551
3.213 3.808 10.405
Ca Pr Y
2 7 2
Direct
0.967 0.766 0.766
0.033 0.234 0.234
0.320 0.603 0.077
0.680 0.923 0.397
0.680 0.397 0.923
0.320 0.077 0.603
0.000 0.000 0.000
0.813 0.593 0.593
0.187 0.407 0.407
0.500 0.279 0.721
0.500 0.721 0.279
```

Calculated values
Formation energy: 0.140 eV per atom
D(E_F): 1.494 states/eV/atom
Crystal system: orthorhombic

# 5
Material: CeDyAlPb
Method: DFT, PBE-GGA
State: optimized geometry

```
CeDyAlPb
1.0
-0.480 2.495 -4.706
-4.803 1.656 -1.671
-1.122 5.227 -0.153
Pb Al Ce Dy
1 1 1 1
Direct
0.250 0.250 0.250
0.750 0.750 0.750
0.500 0.500 0.500
0.000 0.000 0.000
```

Calculated values
Formation energy: -0.294 eV per atom
D(E_F): 2.023 states/eV/atom
Crystal system: cubic

# 6
Material: AlPPb2
Method: DFT, PBE-GGA
State: optimized geometry

```
AlPPb2
1.0
3.765 0.016 0.000
-0.017 3.765 0.000
0.000 0.000 6.948
Pb P Al
2 1 1
Direct
0.000 0.000 0.980
0.000 0.000 0.520
0.500 0.500 0.750
0.500 0.500 0.250
```

Calculated values
Energy above the lowest structure with this stoichiometry: 341.0 meV/atom
Formation energy: 0.336 eV per atom
D(E_F): 0.502 states/eV/atom
Crystal system: tetragonal

# 7
Material: Pr2Ho3Hg2
Method: DFT, PBE-GGA
State: optimized geometry

```
Pr2Ho3Hg2
1.0
4.770 0.000 0.000
-2.385 6.000 -0.344
0.000 -3.180 7.684
Pr Ho Hg
2 3 2
Direct
0.865 0.730 0.212
0.135 0.270 0.788
0.500 0.000 0.000
0.629 0.257 0.456
0.371 0.743 0.544
0.849 0.699 0.799
0.151 0.301 0.201
```

Calculated values
Formation energy: -0.205 eV per atom
D(E_F): 1.330 states/eV/atom
Crystal system: monoclinic

# 8
Material: Pm2SnBr8
Method: DFT, PBE-GGA
State: optimized geometry

```
Pm2SnBr8
1.0
8.183 -0.590 -0.412
0.798 7.905 1.279
0.798 3.922 6.982
Pm Sn Br
2 1 8
Direct
0.445 0.126 0.126
0.555 0.874 0.874
0.000 0.000 0.000
0.300 0.217 0.726
0.300 0.726 0.217
0.700 0.783 0.274
0.403 0.703 0.703
0.700 0.274 0.783
0.121 0.192 0.192
0.879 0.808 0.808
0.597 0.297 0.297
```

Calculated values
Energy above the lowest structure with this stoichiometry: 0.0 meV/atom
Energy relative to the elements, uncorrected: -1.47 eV per atom
D(E_F): 0.000 states/eV/atom
Crystal system: monoclinic